## DyMgZn2Ga2 (PBE)

Data for a geometry-optimized DyMgZn2Ga2 structure.

Output
formation energy from the elements = -0.402 eV per atom
V = 18.8 Å³ per atom
DFT total energy = -17.212 eV/f.u.
space group = P-3m1, No. 164

a b c (Å): 4.3687 4.3687 6.8253
angles (deg): 90.00 90.00 120.00
Closest atoms and distances in Å follow each position.
Fractional positions:
1 Mg 0.0000 0.0000 0.5000  6 Zn 2.97, 6 Ga 3.04
2 Ga 0.3333 0.6667 0.2515  3 Zn 2.53
3 Ga 0.6667 0.3333 0.7485  3 Zn 2.53
4 Zn 0.6667 0.3333 0.2713  3 Ga 2.53
5 Zn 0.3333 0.6667 0.7287  3 Ga 2.53
6 Dy 0.0000 0.0000 0.0000  6 Ga 3.05, 6 Zn 3.13, 2 Mg 3.41

=====

## La2TaBr2 (PBE)

Data for a geometry-optimized La2TaBr2 structure.

Output
uncorrected formation energy = -263 meV per atom
V = 29.0 Å³ per atom
DFT total energy = -26.367 eV/f.u.
ΔE to the lowest computed polymorph = 0.10 eV per formula unit
space group = I4/mmm, No. 139

a b c (Å): 5.9326 5.9326 5.8836
angles (deg): 59.72 59.72 90.00
Closest atoms and distances in Å follow each position.
Fractional positions:
1 La 0.2500 0.7500 0.5000  4 Br 3.01
2 La 0.7500 0.2500 0.5000  4 Br 3.01
3 Br 0.3132 0.3132 0.3737  1 Ta 2.58
4 Br 0.6868 0.6868 0.6263  1 Ta 2.58
5 Ta 0.0000 0.0000 0.0000  2 Br 2.58

=====

## Cs2ScPI6 (PBE)

Data for a geometry-optimized Cs2ScPI6 structure.

Output
uncorrected formation energy = -882 meV per atom
V = 44.4 Å³ per atom
DFT total energy = -31.566 eV/f.u.
space group = I4/mmm, No. 139

a b c (Å): 8.0820 8.0820 8.8811
angles (deg): 62.93 62.93 90.00
Closest atoms and distances in Å follow each position.
Fractional positions:
1 Cs 0.2500 0.7500 0.5000  12 I 4.07-4.44
2 Cs 0.7500 0.2500 0.5000  12 I 4.07-4.44
3 I 0.2563 0.2563 0.0000  1 P 2.79, 1 Sc 2.93
4 I 0.7437 0.2563 0.0000  1 P 2.79, 1 Sc 2.93
5 I 0.7437 0.7437 0.0000  1 P 2.79, 1 Sc 2.93
6 I 0.2121 0.2121 0.5758  1 Sc 2.88
7 I 0.7879 0.7879 0.4242  1 Sc 2.88
8 I 0.2563 0.7437 0.0000  1 P 2.79, 1 Sc 2.93
9 P 0.5000 0.5000 0.0000  4 I 2.79
10 Sc 0.0000 0.0000 0.0000  6 I 2.88-2.93

=====

## WC2 (PBE)

Data for a geometry-optimized WC2 structure.

Output
formation energy from the elements = 0.768 eV per atom
V = 9.2 Å³ per atom
DFT total energy = -29.096 eV/f.u.
ΔE to the lowest computed polymorph = 0.76 eV per formula unit
space group = Cmcm, No. 63

a b c (Å): 2.9937 2.9937 7.8000
angles (deg): 90.00 90.00 127.93
Closest atoms and distances in Å follow each position.
Fractional positions:
1 C 0.7321 0.2679 0.0516  2 C 1.55
2 C 0.2679 0.7321 0.5516  2 C 1.55
3 C 0.7321 0.2679 0.4484  2 C 1.55
4 C 0.2679 0.7321 0.9484  2 C 1.55
5 W 0.5475 0.4525 0.7500  6 C 2.16-2.35
6 W 0.4525 0.5475 0.2500  6 C 2.16-2.35

=====

## NaLi2Si (PBE)

Data for a geometry-optimized NaLi2Si structure.

Output
uncorrected formation energy = 35 meV per atom
V = 17.6 Å³ per atom
DFT total energy = -10.429 eV/f.u.
space group = P4/mmm, No. 123

a b c (Å): 3.3182 4.6126 4.6126
angles (deg): 90.00 90.00 90.00
Closest atoms and distances in Å follow each position.
Fractional positions:
1 Li 0.0000 0.0000 0.5000  4 Na 2.84, 4 Si 2.84
2 Li 0.0000 0.5000 0.0000  4 Na 2.84, 4 Si 2.84
3 Si 0.5000 0.0000 0.0000  8 Li 2.84
4 Na 0.5000 0.5000 0.5000  8 Li 2.84

=====

## Tb2HF (PBE)

Data for a geometry-optimized Tb2HF structure.

Output
V = 20.5 Å³ per atom
DFT total energy = -19.763 eV/f.u.
space group = R-3m, No. 166

a b c (Å): 3.6136 3.6136 7.5579
angles (deg): 76.17 76.17 60.00
Closest atoms and distances in Å follow each position.
Fractional positions:
1 Tb 0.1009 0.1009 0.6972  1 F 2.20
2 Tb 0.8991 0.8991 0.3028  1 F 2.20
3 H 0.5000 0.5000 0.5000  6 Tb 2.53
4 F 0.0000 0.0000 0.0000  2 Tb 2.20

=====

## Y2ScGaO (PBE)

Data for a geometry-optimized Y2ScGaO structure.

Output
uncorrected formation energy = -1443 meV per atom
V = 19.6 Å³ per atom
DFT total energy = -34.460 eV/f.u.
space group = P4/mmm, No. 123

a b c (Å): 4.7474 4.7474 4.3532
angles (deg): 90.00 90.00 90.00
Closest atoms and distances in Å follow each position.
Fractional positions:
1 Ga 0.5000 0.5000 0.5000  8 Y 3.22, 4 Sc 3.36
2 Sc 0.0000 0.0000 0.5000  2 O 2.18
3 Y 0.0000 0.5000 0.0000  2 O 2.37
4 Y 0.5000 0.0000 0.0000  2 O 2.37
5 O 0.0000 0.0000 0.0000  2 Sc 2.18, 4 Y 2.37

=====

## U2TcSn (PBE)

Data for a geometry-optimized U2TcSn structure.

Output
formation energy from the elements = 0.010 eV per atom
V = 20.0 Å³ per atom
DFT total energy = -36.906 eV/f.u.
ΔE to the lowest computed polymorph = 0.00 eV per formula unit
space group = P4/mmm, No. 123

a b c (Å): 4.5480 4.1918 4.1918
angles (deg): 90.00 90.00 90.00
Closest atoms and distances in Å follow each position.
Fractional positions:
1 Tc 0.5000 0.0000 0.0000  4 Sn 2.96, 8 U 3.09
2 U 0.0000 0.0000 0.5000  4 U 2.96, 4 Sn 3.09, 4 Tc 3.09
3 U 0.0000 0.5000 0.0000  4 U 2.96, 4 Sn 3.09, 4 Tc 3.09
4 Sn 0.5000 0.5000 0.5000  4 Tc 2.96, 8 U 3.09